Entry 1:
# AgTe

An optimized crystal structure of AgTe (PBE, Alexandria via LeMat-Bulk).

Cell and atoms, written as extended XYZ:
```
16
Lattice="9.7738 0.0000 0.0000 0.0000 9.7738 0.0000 0.0000 0.0000 4.6184" Properties=species:S:1:pos:R:3 pbc="T T T"
Te 8.9136 7.7925 0.0000
Te 1.9812 8.9136 0.0000
Te 0.8602 1.9812 0.0000
Te 7.7925 0.8602 0.0000
Te 2.9056 5.7471 2.3092
Te 5.7471 6.8681 2.3092
Te 4.0267 2.9056 2.3092
Te 6.8681 4.0267 2.3092
Ag 0.6744 3.6144 2.3092
Ag 1.2724 5.5613 0.0000
Ag 8.5013 4.2125 0.0000
Ag 3.6144 9.0994 2.3092
Ag 5.5613 8.5013 0.0000
Ag 4.2125 1.2724 0.0000
Ag 9.0994 6.1593 2.3092
Ag 6.1593 0.6744 2.3092
```


Entry 2:
# Ag8Te

An optimized crystal structure of Ag8Te (PBE, Alexandria via LeMat-Bulk).

Cell and atoms, written as extended XYZ:
```
9
Lattice="-2.4367 1.7372 6.0146 1.8316 -5.2553 -3.7627 6.2428 2.1969 1.1542" Properties=species:S:1:pos:R:3 pbc="T T T"
Ag 3.8908 0.2868 1.4935
Ag 0.4337 -2.9653 -0.5606
Ag -1.0389 -0.5528 2.8126
Ag 1.7468 -1.6080 1.9126
Ag 2.5158 2.6004 4.7386
Ag 5.3373 -2.0217 -1.7242
Ag 1.2902 1.3336 2.4302
Ag 2.7372 -1.0368 -0.8842
Te 0.0000 0.0000 0.0000
```


Entry 3:
# Ag5Te4

An optimized crystal structure of Ag5Te4 (PBE, Alexandria via LeMat-Bulk).

## Properties
**Energy above the most stable polymorph in this dataset**: 0.0198 eV per atom

Cell and atoms, written as extended XYZ:
```
9
Lattice="5.3243 -1.4749 1.4863 0.1617 6.2095 0.2452 0.4023 -0.4759 6.8041" Properties=species:S:1:pos:R:3 pbc="T T T"
Ag 4.4311 2.0493 6.9468
Ag 0.0000 0.0000 0.0000
Ag 2.9601 0.0139 5.3056
Ag 1.4571 2.2093 1.5888
Ag 2.9281 4.2447 3.2300
Te 0.4473 1.0119 4.1247
Te 5.4408 3.2467 4.4109
Te 2.0258 3.5454 6.0460
Te 3.8624 0.7132 2.4896
```


Entry 4:
# AgTe3

An optimized crystal structure of AgTe3 (PBE, Alexandria via LeMat-Bulk).

Cell and atoms, written as extended XYZ:
```
4
Lattice="-0.3543 -3.6592 -1.7913 1.6547 -1.7157 3.1776 -6.4311 -0.8042 2.9147" Properties=species:S:1:pos:R:3 pbc="T T T"
Te -1.1357 -1.1034 2.4785
Te -3.4916 -2.2441 0.6066
Te -4.8129 -3.3706 3.1692
Ag -6.4089 -0.8014 2.9047
```


Entry 5:
# AgTe

An optimized crystal structure of AgTe (PBE, Alexandria via LeMat-Bulk).

Cell and atoms, written as extended XYZ:
```
4
Lattice="3.2015 0.0000 0.0000 0.0000 4.2983 0.0000 0.0000 0.0000 7.7073" Properties=species:S:1:pos:R:3 pbc="T T T"
Te 1.6007 2.1491 1.2070
Te 0.0000 0.0000 4.5735
Ag 0.0000 0.0000 7.5315
Ag 1.6007 2.1491 5.9564
```


Entry 6:
# AgTe3

An optimized crystal structure of AgTe3 (PBE, Alexandria via LeMat-Bulk).

Cell and atoms, written as extended XYZ:
```
4
Lattice="-0.8480 0.2426 2.9889 -3.6307 -1.9073 -0.8753 3.5410 -7.4803 1.6119" Properties=species:S:1:pos:R:3 pbc="T T T"
Te 1.7705 -3.7401 0.8059
Te 0.5875 -6.8040 2.3436
Te -1.5252 -2.3409 1.3818
Ag 0.0000 0.0000 0.0000
```


Entry 7:
# AgTe3

An optimized crystal structure of AgTe3 (PBE, Alexandria via LeMat-Bulk).

Cell and atoms, written as extended XYZ:
```
8
Lattice="-4.1348 -1.1090 -1.1028 0.9617 -5.7500 2.1764 -2.6316 2.3862 7.4669" Properties=species:S:1:pos:R:3 pbc="T T T"
Te -4.1199 0.0931 6.4928
Te -0.0982 -1.1365 1.5110
Te -3.6367 -2.7961 7.5863
Te -3.1081 0.3892 2.4015
Te 0.3803 -3.9973 2.5938
Te -1.1100 -1.4325 5.6022
Ag -2.5967 -2.5135 3.4031
Ag -1.6214 1.4702 4.6006
```


Entry 8:
# Ag7Te6

An optimized crystal structure of Ag7Te6 (PBE, Alexandria via LeMat-Bulk).

Cell and atoms, written as extended XYZ:
```
13
Lattice="11.0287 0.0016 0.0010 9.4228 5.7310 0.0010 9.4228 2.6412 5.0861" Properties=species:S:1:pos:R:3 pbc="T T T"
Te 19.8725 5.5703 3.3846
Te 27.6471 7.7495 4.7087
Te 5.3211 1.4915 0.9063
Te 2.2272 0.6243 0.3793
Te 10.0017 2.8035 1.7034
Te 24.5531 6.8823 4.1817
Ag 17.9736 3.5244 2.1415
Ag 17.1869 6.3311 2.1415
Ag 12.6874 3.5563 0.4554
Ag 11.9006 4.8494 2.9465
Ag 12.6874 2.0426 2.9465
Ag 17.1869 4.8175 4.6326
Ag 14.9371 4.1869 2.5440
```


Entry 9:
# Ag2Te

An optimized crystal structure of Ag2Te (PBE, Alexandria via LeMat-Bulk).

Cell and atoms, written as extended XYZ:
```
6
Lattice="2.4991 -4.3286 0.0000 2.4991 4.3286 0.0000 0.0000 0.0000 6.2090" Properties=species:S:1:pos:R:3 pbc="T T T"
Ag 0.0000 0.0000 3.1045
Ag 0.0000 0.0000 0.0000
Ag 2.4991 1.4429 1.5522
Ag 2.4991 -1.4429 4.6567
Te 2.4991 -1.4429 1.5522
Te 2.4991 1.4429 4.6567
```


Entry 10:
# Ag7Te5

An optimized crystal structure of Ag7Te5 (PBE, Alexandria via LeMat-Bulk).

## Properties
**Energy above the most stable polymorph in this dataset**: 0.0000 eV per atom

Cell and atoms, written as extended XYZ:
```
12
Lattice="4.1193 0.0000 0.0000 -2.0596 6.8035 0.3537 0.0000 -2.4654 10.8585" Properties=species:S:1:pos:R:3 pbc="T T T"
Ag 2.0596 1.8418 0.8980
Ag 2.0596 5.5381 3.0001
Ag 2.0596 2.5368 3.7920
Ag 0.0000 2.4963 10.3143
Ag 0.0000 -1.1999 8.2121
Ag 0.0000 1.8013 7.4202
Ag 2.0596 -1.2327 5.4293
Te 2.0596 3.7285 6.5108
Te 0.0000 0.6096 4.7015
Te 2.0596 0.7148 9.1200
Te 0.0000 0.0000 0.0000
Te 0.0000 3.6233 2.0922
```


Entry 11:
# AgTe

An optimized crystal structure of AgTe (PBE, Alexandria via LeMat-Bulk).

Cell and atoms, written as extended XYZ:
```
32
Lattice="-7.2329 4.3550 4.4213 3.1887 -4.7586 9.9035 4.8207 6.4404 1.5424" Properties=species:S:1:pos:R:3 pbc="T T T"
Ag 2.0037 -2.9902 6.2231
Ag 0.7976 2.4075 9.2049
Ag -1.4213 7.5177 5.6774
Ag -0.6026 6.2960 8.2200
Ag 0.6034 0.8983 5.2381
Ag -1.4186 0.6965 12.4005
Ag -0.8371 -1.9703 10.8429
Ag -0.0211 3.6292 6.6623
Ag -3.2071 1.5666 3.4820
Ag 5.1897 -0.9276 9.4034
Ag 4.6081 1.7392 10.9611
Ag -2.2373 1.9182 9.8579
Ag 1.1850 -1.7684 3.6804
Ag 2.8197 2.6093 2.0425
Ag -0.2152 2.1200 2.6955
Ag 3.7895 2.9609 8.4185
Te -0.3699 3.2554 11.5958
Te 0.8362 -2.1423 8.6139
Te -2.1583 4.1255 2.6772
Te 3.8685 5.1682 1.2378
Te 3.5567 6.0015 5.0427
Te -0.2539 6.6698 3.2866
Te -1.0699 1.0704 7.4671
Te 1.5346 5.7997 12.2051
Te 1.6522 3.4572 4.4334
Te -4.3745 2.4145 5.8728
Te 2.7407 0.4020 9.2232
Te 3.0524 -0.4313 5.4183
Te 1.8464 4.9664 8.4002
Te 0.9522 1.2722 0.3047
Te -2.4701 4.9588 6.4822
Te 4.9569 2.1130 6.0276
```


Entry 12:
# AgTe

An optimized crystal structure of AgTe (PBE, Alexandria via LeMat-Bulk).

Cell and atoms, written as extended XYZ:
```
6
Lattice="-4.4344 3.2569 2.1737 0.6972 -0.5178 -5.8516 -3.1037 -4.2288 0.0044" Properties=species:S:1:pos:R:3 pbc="T T T"
Ag -2.2172 1.6284 1.0869
Ag -1.8686 1.3695 -1.8390
Ag 0.3486 -0.2589 -2.9258
Te -2.5652 -1.3740 -3.1743
Te 0.0000 0.0000 0.0000
Te -4.2757 -0.1158 -0.4992
```


Entry 13:
# Ag3Te4

An optimized crystal structure of Ag3Te4 (PBE, Alexandria via LeMat-Bulk).

## Properties
**Energy above the most stable polymorph in this dataset**: 0.0421 eV per atom

Cell and atoms, written as extended XYZ:
```
7
Lattice="5.9161 0.0000 0.0000 0.0000 5.9161 0.0000 0.0000 0.0000 5.9161" Properties=species:S:1:pos:R:3 pbc="T T T"
Te 1.1823 1.1823 4.7338
Te 1.1823 4.7338 1.1823
Te 4.7338 1.1823 1.1823
Te 4.7338 4.7338 4.7338
Ag 2.9580 0.0000 2.9580
Ag 2.9580 2.9580 0.0000
Ag 0.0000 2.9580 2.9580
```


Entry 14:
# AgTe3

An optimized crystal structure of AgTe3 (PBE, Alexandria via LeMat-Bulk).

Cell and atoms, written as extended XYZ:
```
4
Lattice="5.3092 0.0000 0.0000 2.6546 4.5979 0.0000 2.6546 1.5326 4.3350" Properties=species:S:1:pos:R:3 pbc="T T T"
Ag 0.0000 0.0000 0.0000
Te 7.9638 4.5979 3.2512
Te 5.3092 3.0653 2.1675
Te 2.6546 1.5326 1.0837
```


Entry 15:
# Ag5Te4

An optimized crystal structure of Ag5Te4 (PBE, Alexandria via LeMat-Bulk).

## Properties
**Energy above the most stable polymorph in this dataset**: 0.0000 eV per atom

Cell and atoms, written as extended XYZ:
```
9
Lattice="4.3779 0.0000 0.0000 2.1890 7.1119 0.0000 2.1890 0.0000 7.1119" Properties=species:S:1:pos:R:3 pbc="T T T"
Ag 2.1890 0.3296 2.1346
Ag 6.5669 6.7823 4.9772
Ag 4.3779 2.1346 6.7823
Ag 4.3779 4.9772 0.3296
Ag 0.0000 0.0000 0.0000
Te 4.3779 2.3967 1.6504
Te 2.1889 1.6504 4.7151
Te 4.3779 4.7151 5.4615
Te 6.5669 5.4615 2.3967
```


Entry 16:
# AgTe3

An optimized crystal structure of AgTe3 (PBE, Alexandria via LeMat-Bulk).

Cell and atoms, written as extended XYZ:
```
8
Lattice="4.1183 -7.1331 0.0000 4.1183 7.1331 0.0000 0.0000 0.0000 3.9273" Properties=species:S:1:pos:R:3 pbc="T T T"
Ag 4.1183 -2.3777 2.9455
Ag 4.1183 2.3777 0.9818
Te 4.1183 4.6438 2.9455
Te 2.1557 1.2446 2.9455
Te 2.1557 -1.2446 0.9818
Te 6.0808 -1.2446 0.9818
Te 6.0808 1.2446 2.9455
Te 4.1183 -4.6438 0.9818
```


Entry 17:
# AgTe4

An optimized crystal structure of AgTe4 (PBE, Alexandria via LeMat-Bulk).

## Properties
**Energy above the most stable polymorph in this dataset**: 0.4577 eV per atom

Cell and atoms, written as extended XYZ:
```
5
Lattice="-5.0594 0.0605 -1.9109 -0.9060 -4.8362 2.2456 -1.6835 2.4208 4.5342" Properties=species:S:1:pos:R:3 pbc="T T T"
Te -2.9827 -2.3879 0.1674
Te -3.3715 1.2406 1.3117
Te 0.0000 0.0000 0.0000
Te -1.2947 -1.2077 3.3899
Ag -3.8245 -1.1775 2.4345
```


Entry 18:
# Ag2Te

An optimized crystal structure of Ag2Te (PBE, Alexandria via LeMat-Bulk).

Cell and atoms, written as extended XYZ:
```
6
Lattice="-3.9608 -4.6034 1.1960 -1.4804 -6.0082 -0.1407 0.7653 -5.2666 6.9546" Properties=species:S:1:pos:R:3 pbc="T T T"
Ag -2.4931 -7.1391 2.8763
Ag -3.7760 -11.5193 5.0991
Ag -0.9000 -4.3589 2.9108
Ag -2.1828 -8.7391 5.1336
Te -4.7282 -9.3218 1.0230
Te 0.0522 -6.5564 6.9869
```


Entry 19:
# Ag4Te

An optimized crystal structure of Ag4Te (PBE, Alexandria via LeMat-Bulk).

## Properties
**Energy above the most stable polymorph in this dataset**: 0.2343 eV per atom

Cell and atoms, written as extended XYZ:
```
5
Lattice="0.3104 1.3309 2.7340 -2.7877 -0.6090 -1.0957 0.3391 -11.9425 5.7750" Properties=species:S:1:pos:R:3 pbc="T T T"
Ag -1.6148 -4.8997 2.5684
Ag -0.4532 -8.7933 6.0405
Ag -1.6850 -2.4273 1.3729
Ag -0.5234 -6.3209 4.8450
Te 0.0000 0.0000 0.0000
```


Entry 20:
# AgTe

An optimized crystal structure of AgTe (PBE, Alexandria via LeMat-Bulk).

Cell and atoms, written as extended XYZ:
```
8
Lattice="2.7062 -4.6873 0.0000 2.7062 4.6873 0.0000 0.0000 0.0000 8.3521" Properties=species:S:1:pos:R:3 pbc="T T T"
Ag 2.7062 -1.5624 4.8990
Ag 2.7062 1.5624 0.7229
Ag 2.7062 1.5624 3.4531
Ag 2.7062 -1.5624 7.6292
Te 0.0000 0.0000 6.2641
Te 2.7062 1.5624 6.2641
Te 2.7062 -1.5624 2.0880
Te 0.0000 0.0000 2.0880
```


Entry 21:
# AgTe

An optimized crystal structure of AgTe (PBE, Alexandria via LeMat-Bulk).

Cell and atoms, written as extended XYZ:
```
16
Lattice="6.4022 0.0000 0.0000 0.0000 7.1964 0.0000 0.0000 0.0000 8.7868" Properties=species:S:1:pos:R:3 pbc="T T T"
Te 4.8210 1.7966 4.5682
Te 1.5574 1.7776 7.6894
Te 1.6436 5.4188 3.2960
Te 1.5812 5.3948 8.6119
Te 4.8447 5.3758 5.4907
Te 4.7823 5.3998 0.1748
Te 1.6199 1.8016 4.2185
Te 4.7585 1.8206 1.0974
Ag 5.1650 0.4625 7.2164
Ag 1.2371 4.0607 5.9637
Ag 1.0157 0.4304 1.5809
Ag 1.9640 3.1357 1.5703
Ag 4.2168 3.1678 7.2058
Ag 4.4382 6.7339 2.8230
Ag 5.3864 4.0286 2.8124
Ag 2.1853 6.7660 5.9743
```


Entry 22:
# AgTe3

An optimized crystal structure of AgTe3 (PBE, Alexandria via LeMat-Bulk).

Cell and atoms, written as extended XYZ:
```
4
Lattice="-5.2634 0.3038 -1.3716 0.2879 -4.9794 -2.1909 -0.9047 -1.4395 3.1529" Properties=species:S:1:pos:R:3 pbc="T T T"
Ag 0.0000 0.0000 0.0000
Te -2.4878 -2.3378 -1.7813
Te -0.3084 -3.2095 0.4810
Te -3.0841 -0.5679 0.8906
```


Entry 23:
# AgTe3

An optimized crystal structure of AgTe3 (PBE, Alexandria via LeMat-Bulk).

Cell and atoms, written as extended XYZ:
```
16
Lattice="-3.7515 0.2613 -7.5110 0.2852 -7.2079 4.3037 -6.6256 1.7501 3.3701" Properties=species:S:1:pos:R:3 pbc="T T T"
Te -3.1702 -2.7289 3.8369
Te -2.8377 -0.6566 -0.9117
Te 0.1426 -3.6039 2.1518
Te -1.7331 -3.4733 -1.6037
Te -5.1885 1.0057 -2.0704
Te -5.0459 -2.5982 0.0814
Te -1.8757 0.1307 -3.7555
Te -4.7472 -0.5236 -4.7348
Te -5.4898 -1.0040 2.7070
Te -7.2542 -4.5399 1.0745
Te -4.6020 -4.1925 -2.5442
Te -5.3447 -4.6729 4.8976
Ag -2.7168 -4.2806 1.2080
Ag -3.3128 0.8750 1.6851
Ag -7.3751 -0.9158 -1.0452
Ag 0.0000 0.0000 0.0000
```


no.,final energy (Ry/atom),uncorrected formation energy (eV/atom)
1,-0.2159,0.059
2,-0.2093,0.035
3,-0.2165,0.034
4,-0.2135,0.164
5,-0.2195,0.011
6,-0.2054,0.274
7,-0.2146,0.149
8,-0.2102,0.126
9,-0.2112,0.075
10,-0.2168,0.022
11,-0.2125,0.105
12,-0.2077,0.171
13,-0.2124,0.127
14,-0.1998,0.351
15,-0.2180,0.015
16,-0.2139,0.158
17,-0.1860,0.553
18,-0.2069,0.133
19,-0.1934,0.277
20,-0.2007,0.265
21,-0.2160,0.057
22,-0.2035,0.300
23,-0.2187,0.093